Computed, not measured: a relaxed structure of ZnSiBr2 at the PBE-GGA level of DFT.

Calculated values
As for the crystal system: orthorhombic. The excess energy over the best structure of this formula in the dataset is 526 meV/atom. The calculation puts the raw formation energy at 366 meV per atom. The symmetry is Cmmm.

Unit cell a=5.043 b=5.043 c=3.636 alpha=90.00 beta=90.00 gamma=97.09
Fractional positions:
Br  0.000  0.000  0.000
Br  0.500  0.500  0.000
Si  0.500  0.000  0.500
Zn  0.000  0.500  0.500

***

Computed, not measured: a relaxed structure of CeNd2SmSb4 at the PBE-GGA level of DFT.

Calculated values
As for the crystal system: monoclinic. The calculation puts the raw formation energy at -1153 meV per atom. The symmetry is P2/m.

Unit cell a=4.501 b=7.799 c=7.801 alpha=109.36 beta=90.00 gamma=90.00
Fractional positions:
Ce  0.500  0.500  0.000
Nd  0.500  0.000  0.500
Nd  0.000  0.500  0.500
Sm  0.000  0.000  0.000
Sb  0.500  0.249  0.246
Sb  0.500  0.751  0.754
Sb  0.000  0.251  0.753
Sb  0.000  0.749  0.247

***

Computed, not measured: a relaxed structure of Tb2SmAl at the PBE-GGA level of DFT.

Calculated values
As for the crystal system: trigonal. The excess energy over the best structure of this formula in the dataset is 128 meV/atom. As for the energy relative to the elements: -0.064 eV per atom. The symmetry is R3m.

Unit cell a=3.604 b=3.604 c=10.717 alpha=80.32 beta=80.32 gamma=60.00
Fractional positions:
Tb  0.072  0.072  0.784
Tb  0.262  0.262  0.215
Sm  0.500  0.500  0.499
Al  0.666  0.666  0.001

***

Computed, not measured: a relaxed structure of AcCo5P3 at the PBE-GGA level of DFT.

Calculated values
As for the crystal system: orthorhombic. As for the energy relative to the elements: -0.749 eV per atom. The symmetry is Cmcm.

Unit cell a=3.654 b=6.067 c=11.563 alpha=90.00 beta=90.00 gamma=107.53
Fractional positions:
Ac  0.835  0.671  0.750
Ac  0.165  0.329  0.250
Co  0.803  0.605  0.433
Co  0.197  0.395  0.933
Co  0.000  0.000  0.500
Co  0.000  0.000  0.000
Co  0.446  0.893  0.142
Co  0.554  0.107  0.858
Co  0.554  0.107  0.642
Co  0.803  0.605  0.067
Co  0.197  0.395  0.567
Co  0.446  0.893  0.358
P  0.382  0.765  0.966
P  0.893  0.786  0.250
P  0.382  0.765  0.534
P  0.618  0.235  0.466
P  0.107  0.214  0.750
P  0.618  0.235  0.034

***

Number 1: D(E_F) 0.480 states/eV per atom, uncorrected energy -2.14 eV per atom. Number 2: D(E_F) 0.928 states/eV per atom, uncorrected energy -5.74 eV per atom. Number 3: D(E_F) 1.195 states/eV per atom, uncorrected energy -4.50 eV per atom. Number 4: D(E_F) 0.816 states/eV per atom, uncorrected energy -6.96 eV per atom.